1.
The following is a DFT calculation (meta-GGA SCAN) of LiCu2F4 at its PBEsol-relaxed geometry.

Final energy   -8.65 eV per atom
Space group   No. 11
Raw formation energy   -1947 meV/atom

```
LiCu2F4
1.0
3.109 0.000 0.000
0.000 9.783 0.000
-0.404 0.000 5.065
Li Cu F
2 4 8
Direct
0.124 0.250 0.311
0.876 0.750 0.689
0.339 0.576 0.230
0.339 0.924 0.230
0.661 0.076 0.770
0.661 0.424 0.770
0.000 0.000 0.500
0.000 0.500 0.500
0.290 0.114 0.063
0.290 0.386 0.063
0.369 0.750 0.442
0.631 0.250 0.558
0.710 0.614 0.937
0.710 0.886 0.937
```

---

2.
The following is a DFT calculation (meta-GGA SCAN) of InSi2AgF at its PBEsol-relaxed geometry.

Final energy   -17.27 eV per atom
Space group   No. 123
Raw formation energy   395 meV/atom

```
InSi2AgF
1.0
5.123 0.000 0.000
0.000 5.123 0.000
0.000 0.000 4.136
In Si Ag F
1 2 1 1
Direct
0.000 0.000 0.000
0.000 0.500 0.000
0.500 0.000 0.000
0.500 0.500 0.500
0.000 0.000 0.500
```

---

3.
The following is a DFT calculation (meta-GGA SCAN) of Co2AgTe at its PBEsol-relaxed geometry.

Final energy   -25.31 eV per atom
Space group   No. 119
Raw formation energy   497 meV/atom

```
Co2AgTe
1.0
-1.884 1.884 4.136
1.884 -1.884 4.136
1.884 1.884 -4.136
Co Ag Te
2 1 1
Direct
0.000 0.000 0.000
0.750 0.250 0.500
0.250 0.750 0.500
0.500 0.500 0.000
```

---

4.
The following is a DFT calculation (meta-GGA SCAN) of FePO4 at its PBEsol-relaxed geometry.

Final energy   -11.06 eV per atom
Space group   No. 152
Raw formation energy   -2151 meV/atom

```
FePO4
1.0
5.100 0.000 0.000
-2.550 4.417 0.000
0.000 0.000 11.303
Fe P O
3 3 12
Direct
0.000 0.460 0.167
0.460 0.000 0.833
0.540 0.540 0.500
0.000 0.460 0.667
0.460 0.000 0.333
0.540 0.540 0.000
0.105 0.689 0.770
0.153 0.740 0.290
0.260 0.413 0.623
0.311 0.416 0.103
0.413 0.260 0.377
0.416 0.311 0.897
0.584 0.895 0.437
0.587 0.847 0.956
0.689 0.105 0.230
0.740 0.153 0.710
0.847 0.587 0.044
0.895 0.584 0.563
```

---

5.
The following is a DFT calculation (meta-GGA SCAN) of NaHfRh2Au at its PBEsol-relaxed geometry.

Final energy   -39.37 eV per atom
Formation energy from the elements   1350 meV per atom
Space group   No. 123

```
NaHfRh2Au
1.0
4.398 0.000 0.000
0.000 4.398 0.000
0.000 0.000 4.552
Na Hf Rh Au
1 1 2 1
Direct
0.000 0.000 0.000
0.000 0.000 0.500
0.000 0.500 0.000
0.500 0.000 0.000
0.500 0.500 0.500
```

---

6.
The following is a DFT calculation (meta-GGA SCAN) of CoIr4Pb at its PBEsol-relaxed geometry.

Final energy   -62.27 eV per atom
Formation energy from the elements   642 meV per atom
Space group   No. 216

```
CoIr4Pb
1.0
0.000 3.676 3.676
3.676 0.000 3.676
3.676 3.676 0.000
Co Ir Pb
1 4 1
Direct
0.000 0.000 0.000
0.375 0.375 0.375
0.375 0.375 0.876
0.375 0.876 0.375
0.876 0.375 0.375
0.750 0.750 0.750
```

---

7.
The following is a DFT calculation (meta-GGA SCAN) of Zn2PCl at its PBEsol-relaxed geometry.

Final energy   -11.96 eV per atom
Space group   No. 122
Raw formation energy   -610 meV/atom

```
Zn2PCl
1.0
-2.736 2.736 5.706
2.736 -2.736 5.706
2.736 2.736 -5.706
Zn P Cl
4 2 2
Direct
0.076 0.625 0.951
0.375 0.326 0.451
0.674 0.125 0.049
0.875 0.924 0.549
0.000 0.000 0.000
0.750 0.250 0.500
0.250 0.750 0.500
0.500 0.500 0.000
```

---

8.
The following is a DFT calculation (meta-GGA SCAN) of HoZn3P3 at its PBEsol-relaxed geometry.

Final energy   -17.94 eV per atom
Formation energy from the elements   -695 meV per atom
Space group   No. 194

```
HoZn3P3
1.0
3.941 0.000 0.000
-1.970 3.413 0.000
0.000 0.000 19.435
Ho Zn P
2 6 6
Direct
0.000 0.000 0.000
0.000 0.000 0.500
0.333 0.667 0.127
0.333 0.667 0.373
0.333 0.667 0.750
0.667 0.333 0.250
0.667 0.333 0.627
0.667 0.333 0.873
0.333 0.667 0.250
0.333 0.667 0.584
0.333 0.667 0.916
0.667 0.333 0.084
0.667 0.333 0.416
0.667 0.333 0.750
```